Density functional theory data (PBE) for crystalline TaGaSb at its relaxed geometry.

abc: 4.624 4.624 4.624
angles: 60.00 60.00 60.00
Fractional positions:
Ta 0.000 0.000 0.000
Ga 0.750 0.750 0.750
Sb 0.250 0.250 0.250

- Volume: 23.3 Å³ per atom
- Final energy: -5.85 eV/atom
- Polymorph energy (0 for the lowest one): 0 meV per atom